4
Lattice="-2.903 3.663 1.356 -1.900 0.141 -4.449 -3.397 -3.192 1.349" Properties=species:S:1:pos:R:3 comment="TbPmNdAl PBE optimized geometry" delta_e_f_ev_per_atom=-0.169 spacegroup="Pmmm (47)" polymorph_energy_ev_per_atom=0.000 pbc="T T T"
Al -3.150 0.235 1.353
Nd 0.000 0.000 0.000
Tb -2.401 1.902 -1.546
Pm -2.648 -1.525 -1.550

4
Lattice="-0.332 -0.168 2.898 0.437 -2.886 -0.117 8.287 1.212 1.021" Properties=species:S:1:pos:R:3 comment="PRuSe2 PBE optimized geometry" spacegroup="P4/mmm (123)" total_energy_ev_per_cell=-19.898 pbc="T T T"
Se 5.758 0.842 0.709
Se 2.529 0.370 0.311
P 0.052 -1.527 1.390
Ru 4.195 -0.921 1.901

4
Lattice="3.176 0.000 0.000 0.000 3.176 0.000 0.000 0.000 6.133" Properties=species:S:1:pos:R:3 comment="TaCo2Br PBE optimized geometry" spacegroup="P4/mmm (123)" polymorph_energy_ev_per_atom=0.077 pbc="T T T"
Br 1.588 1.588 4.600
Ta 1.588 1.588 1.533
Co 0.000 0.000 2.804
Co 0.000 0.000 0.263

16
Lattice="5.595 0.000 0.000 0.000 5.595 0.000 -2.797 -2.797 6.327" Properties=species:S:1:pos:R:3 comment="V5Cr2B PBE optimized geometry" delta_e_f_ev_per_atom=0.103 spacegroup="I4/mcm (140)" pbc="T T T"
Cr 0.761 2.036 0.000
Cr 3.559 0.761 0.000
Cr 4.833 3.559 0.000
Cr 2.036 4.834 0.000
V 1.832 -0.965 4.208
V 4.629 1.832 2.119
V -1.832 0.965 4.208
V 0.000 0.000 0.000
V 0.965 3.763 2.119
V 3.763 4.629 2.119
V 2.797 2.797 0.000
V 0.965 1.832 4.208
V 1.832 0.965 2.119
V -0.965 -1.832 4.208
B 2.797 2.797 3.163
B 0.000 0.000 3.163

Number 1: V 28.6 Å³/atom. Number 2: V 18.0 Å³/atom. Number 3: V 15.5 Å³/atom. Number 4: V 12.4 Å³/atom.